[1]
The following is a PBE-GGA calculation of AlGa2Ge after structural relaxation, from the Alexandria database.

The calculation puts the energy above the most stable polymorph in this dataset at 0.0193 eV/atom. The calculation puts the energy of formation from the pure elements at 0.12 eV per atom. Its mass density is 4.95 g cm⁻³. As for the density of states at the Fermi level: 4.265 states/eV per cell.

It has space group R3m (No. 160, hexagonal axes), with a = 4.1111 Å, b = 4.1111 Å, c = 16.4439 Å, α = 90.00°, β = 90.00° and γ = 120.00°. The inequivalent atoms are Al at (0.0000, 0.0000, 0.0000), Ga at (0.0000, 0.0000, 0.2501), Ga at (0.0000, 0.0000, 0.4180) and Ge at (0.0000, 0.0000, 0.8345).


[2]
The following is a PBE-GGA calculation of Sc2MoIr after structural relaxation, from the Alexandria database.

The calculation puts the energy of formation from the pure elements at 0.06 eV per atom. Its mass density is 8.50 g cm⁻³. As for the density of states at the Fermi level: 8.188 states/eV per cell.

It has space group R3m (No. 160, hexagonal axes), with a = 2.9801 Å, b = 2.9801 Å, c = 28.8245 Å, α = 90.00°, β = 90.00° and γ = 120.00°. The inequivalent atoms are Sc at (0.0000, 0.0000, 0.0000), Sc at (0.0000, 0.0000, 0.2326), Mo at (0.0000, 0.0000, 0.4840) and Ir at (0.0000, 0.0000, 0.7441).


[3]
The following is a PBE-GGA calculation of LaY2Er2 after structural relaxation, from the Alexandria database.

The calculation puts the energy above the most stable polymorph in this dataset at 0.0000 eV/atom. The calculation puts the energy of formation from the pure elements at 0.09 eV per atom. Its mass density is 6.46 g cm⁻³. As for the density of states at the Fermi level: 12.134 states/eV per cell.

It has space group P4/mbm (No. 127), with a = 9.487 Å, b = 9.487 Å, c = 3.718 Å, α = 90.00°, β = 90.00° and γ = 90.00°. The inequivalent atoms are La at (0.000, 0.000, 0.000), Y at (0.124, 0.376, 0.000) and Er at (0.172, 0.672, 0.500).


[4]
The following is a PBE-GGA calculation of CsNaCoBr4 after structural relaxation, from the Alexandria database.

Its energy relative to the elements, uncorrected is -1097 meV/atom. Its mass density is 3.55 g cm⁻³.

It has space group P2_1/m (No. 11), with a = 7.073 Å, b = 7.662 Å, c = 9.717 Å, α = 90.00°, β = 108.44° and γ = 90.00°. The inequivalent atoms are Cs at (0.243, 0.250, 0.434), Na at (0.285, 0.250, 0.951), Co at (0.287, 0.750, 0.176), Br at (0.055, 0.750, 0.938), Br at (0.113, 0.750, 0.353) and Br at (0.490, 0.004, 0.788).


[5]
The following is a PBE-GGA calculation of Cu2MoPb after structural relaxation, from the Alexandria database.

The calculation puts the energy of formation from the pure elements at 0.60 eV per atom. Its mass density is 10.45 g cm⁻³. As for the density of states at the Fermi level: 5.510 states/eV per cell.

It has space group Immm (No. 71), with a = 2.974 Å, b = 4.755 Å, c = 9.671 Å, α = 90.00°, β = 90.00° and γ = 90.00°. The inequivalent atoms are Cu at (0.000, 0.000, 0.236), Mo at (0.000, 0.500, 0.500) and Pb at (0.000, 0.500, 0.000).


[6]
The following is a PBE-GGA calculation of LiThHg4 after structural relaxation, from the Alexandria database.

The calculation puts the energy above the most stable polymorph in this dataset at 0.0000 eV/atom. The calculation puts the energy of formation from the pure elements at -0.22 eV per atom. Its mass density is 12.07 g cm⁻³. As for the density of states at the Fermi level: 5.486 states/eV per cell.

It has space group C2/m (No. 12), with a = 10.383 Å, b = 3.692 Å, c = 7.973 Å, α = 90.00°, β = 110.40° and γ = 90.00°. The inequivalent atoms are Li at (0.000, 0.000, 0.000), Th at (0.000, 0.000, 0.500), Hg at (0.160, 0.500, 0.855) and Hg at (0.166, 0.500, 0.303).


[7]
The following is a PBE-GGA calculation of Rb2LiZrO after structural relaxation, from the Alexandria database.

Its energy relative to the elements, uncorrected is 1082 meV/atom. Its mass density is 2.54 g cm⁻³. As for the density of states at the Fermi level: 5.863 states/eV per cell.

It has space group P4/mmm (No. 123), with a = 5.880 Å, b = 5.880 Å, c = 5.400 Å, α = 90.00°, β = 90.00° and γ = 90.00°. The inequivalent atoms are Rb at (0.000, 0.500, 0.000), Li at (0.000, 0.000, 0.000), Zr at (0.000, 0.000, 0.500) and O at (0.500, 0.500, 0.500).


[8]
The following is a PBE-GGA calculation of K2Mg3TiF12 after structural relaxation, from the Alexandria database.

Its energy relative to the elements, uncorrected is -3351 meV/atom. Its mass density is 2.50 g cm⁻³. As for the density of states at the Fermi level: 0.000 states/eV per cell.

It has space group R-3m (No. 166, hexagonal axes), with a = 7.2601 Å, b = 7.2601 Å, c = 18.6485 Å, α = 90.00°, β = 90.00° and γ = 120.00°. The inequivalent atoms are K at (0.0000, 0.0000, 0.0919), Mg at (0.0000, 0.5000, 0.0000), Ti at (0.0000, 0.0000, 0.5000), F at (0.0682, 0.5341, 0.3562) and F at (0.0871, 0.5435, 0.1088).


[9]
The following is a PBE-GGA calculation of PmZrTl after structural relaxation, from the Alexandria database.

The calculation puts the energy above the most stable polymorph in this dataset at 0.2533 eV/atom. The calculation puts the energy of formation from the pure elements at 0.21 eV per atom. Its mass density is 9.45 g cm⁻³. As for the density of states at the Fermi level: 4.257 states/eV per cell.

It has space group P3m1 (No. 156), with a = 5.2841 Å, b = 5.2841 Å, c = 3.2005 Å, α = 90.00°, β = 90.00° and γ = 120.00°. The inequivalent atoms are Pm at (0.0000, 0.0000, 0.0000), Zr at (0.6667, 0.3333, 0.0047) and Tl at (0.3333, 0.6667, 0.5007).


[10]
The following is a PBE-GGA calculation of MoHPb3 after structural relaxation, from the Alexandria database.

The calculation puts the energy above the most stable polymorph in this dataset at 0.0000 eV/atom. Its mass density is 10.74 g cm⁻³. As for the density of states at the Fermi level: 3.446 states/eV per cell.

It has space group Pm-3m (No. 221), with a = 4.807 Å, b = 4.807 Å, c = 4.807 Å, α = 90.00°, β = 90.00° and γ = 90.00°. The inequivalent atoms are Mo at (0.000, 0.000, 0.000), H at (0.500, 0.500, 0.500) and Pb at (0.000, 0.500, 0.500).


[11]
The following is a PBE-GGA calculation of CrNiPd4 after structural relaxation, from the Alexandria database.

The calculation puts the energy above the most stable polymorph in this dataset at 0.0000 eV/atom. The calculation puts the energy of formation from the pure elements at -0.01 eV per atom. Its mass density is 10.31 g cm⁻³. As for the density of states at the Fermi level: 20.754 states/eV per cell.

It has space group C2/m (No. 12), with a = 8.778 Å, b = 3.762 Å, c = 5.505 Å, α = 90.00°, β = 108.12° and γ = 90.00°. The inequivalent atoms are Cr at (0.000, 0.000, 0.000), Ni at (0.000, 0.000, 0.500), Pd at (0.161, 0.500, 0.829) and Pd at (0.163, 0.500, 0.331).


[12]
The following is a PBE-GGA calculation of AgPb2Br after structural relaxation, from the Alexandria database.

The calculation puts the energy above the most stable polymorph in this dataset at 0.0989 eV/atom. Its energy relative to the elements, uncorrected is -36 meV/atom. Its mass density is 8.85 g cm⁻³. As for the density of states at the Fermi level: 1.561 states/eV per cell.

It has space group Pmmm (No. 47), with a = 3.551 Å, b = 5.161 Å, c = 6.167 Å, α = 90.00°, β = 90.00° and γ = 90.00°. The inequivalent atoms are Ag at (0.000, 0.000, 0.000), Pb at (0.000, 0.500, 0.500), Pb at (0.500, 0.500, 0.000) and Br at (0.500, 0.000, 0.500).


[13]
The following is a PBE-GGA calculation of YOsSeBr2 after structural relaxation, from the Alexandria database.

The calculation puts the energy above the most stable polymorph in this dataset at 0.0000 eV/atom. Its energy relative to the elements, uncorrected is 111 meV/atom. Its mass density is 6.95 g cm⁻³. As for the density of states at the Fermi level: 3.293 states/eV per cell.

It has space group P4/mmm (No. 123), with a = 4.982 Å, b = 4.982 Å, c = 4.984 Å, α = 90.00°, β = 90.00° and γ = 90.00°. The inequivalent atoms are Y at (0.000, 0.000, 0.000), Os at (0.500, 0.500, 0.500), Se at (0.500, 0.500, 0.000) and Br at (0.000, 0.500, 0.500).


[14]
The following is a PBE-GGA calculation of CaTaTc2 after structural relaxation, from the Alexandria database.

The calculation puts the energy above the most stable polymorph in this dataset at 0.2300 eV/atom. The calculation puts the energy of formation from the pure elements at 0.41 eV per atom. Its mass density is 8.81 g cm⁻³. As for the density of states at the Fermi level: 7.798 states/eV per cell.

It has space group C2/m (No. 12), with a = 8.219 Å, b = 3.117 Å, c = 6.200 Å, α = 90.00°, β = 98.37° and γ = 90.00°. The inequivalent atoms are Ca at (0.000, 0.000, 0.000), Ta at (0.000, 0.500, 0.500) and Tc at (0.235, 0.000, 0.690).


[15]
The following is a PBE-GGA calculation of Hf2HIrPd after structural relaxation, from the Alexandria database.

The calculation puts the energy above the most stable polymorph in this dataset at 0.0000 eV/atom. Its mass density is 14.90 g cm⁻³. As for the density of states at the Fermi level: 2.997 states/eV per cell.

It has space group P4/mmm (No. 123), with a = 4.391 Å, b = 4.391 Å, c = 3.796 Å, α = 90.00°, β = 90.00° and γ = 90.00°. The inequivalent atoms are Hf at (0.000, 0.500, 0.000), H at (0.000, 0.000, 0.000), Ir at (0.500, 0.500, 0.500) and Pd at (0.000, 0.000, 0.500).


[16]
The following is a PBE-GGA calculation of BeCd3N after structural relaxation, from the Alexandria database.

The calculation puts the energy above the most stable polymorph in this dataset at 0.0000 eV/atom. Its energy relative to the elements, uncorrected is 838 meV/atom. Its mass density is 6.23 g cm⁻³. As for the density of states at the Fermi level: 2.609 states/eV per cell.

It has space group Pm-3m (No. 221), with a = 4.580 Å, b = 4.580 Å, c = 4.580 Å, α = 90.00°, β = 90.00° and γ = 90.00°. The inequivalent atoms are Be at (0.000, 0.000, 0.000), Cd at (0.000, 0.500, 0.500) and N at (0.500, 0.500, 0.500).


[17]
The following is a PBE-GGA calculation of Sr3AgAu2 after structural relaxation, from the Alexandria database.

The calculation puts the energy of formation from the pure elements at -0.58 eV per atom. Its mass density is 7.33 g cm⁻³. As for the density of states at the Fermi level: 8.608 states/eV per cell.

It has space group Cmmm (No. 65), with a = 5.461 Å, b = 16.315 Å, c = 3.890 Å, α = 90.00°, β = 90.00° and γ = 90.00°. The inequivalent atoms are Sr at (0.000, 0.000, 0.000), Sr at (0.000, 0.329, 0.000), Ag at (0.000, 0.500, 0.500) and Au at (0.000, 0.163, 0.500).


[18]
The following is a PBE-GGA calculation of TeIrPt2Br after structural relaxation, from the Alexandria database.

Its energy relative to the elements, uncorrected is 1048 meV/atom. Its mass density is 11.01 g cm⁻³. As for the density of states at the Fermi level: 9.550 states/eV per cell.

It has space group P4/mmm (No. 123), with a = 5.013 Å, b = 5.013 Å, c = 4.742 Å, α = 90.00°, β = 90.00° and γ = 90.00°. The inequivalent atoms are Te at (0.000, 0.000, 0.000), Ir at (0.500, 0.500, 0.500), Pt at (0.000, 0.500, 0.500) and Br at (0.500, 0.500, 0.000).


[19]
The following is a PBE-GGA calculation of LaSm2Sn2 after structural relaxation, from the Alexandria database.

The calculation puts the energy of formation from the pure elements at -0.47 eV per atom. Its mass density is 6.99 g cm⁻³. As for the density of states at the Fermi level: 10.806 states/eV per cell.

It has space group P2_1/m (No. 11), with a = 5.828 Å, b = 4.180 Å, c = 13.291 Å, α = 90.00°, β = 96.58° and γ = 90.00°. The inequivalent atoms are La at (0.201, 0.250, 0.250), Sm at (0.243, 0.750, 0.467), Sm at (0.336, 0.250, 0.890), Sn at (0.159, 0.750, 0.047) and Sn at (0.286, 0.250, 0.656).


[20]
The following is a PBE-GGA calculation of Zr2BSeCl after structural relaxation, from the Alexandria database.

Its energy relative to the elements, uncorrected is 389 meV/atom. Its mass density is 5.74 g cm⁻³. As for the density of states at the Fermi level: 1.800 states/eV per cell.

It has space group P4/mmm (No. 123), with a = 4.877 Å, b = 4.877 Å, c = 3.743 Å, α = 90.00°, β = 90.00° and γ = 90.00°. The inequivalent atoms are Zr at (0.000, 0.500, 0.000), B at (0.000, 0.000, 0.500), Se at (0.500, 0.500, 0.500) and Cl at (0.000, 0.000, 0.000).